(1)
CaIn2Br8 after structural relaxation. Source: Alexandria, functional PBE.

Unit cell a=9.411 b=10.837 c=11.240 alpha=74.40 beta=65.25 gamma=64.27
Last column: magnetic moment on the atom in μB.
Fractional positions:
1 Br 0.140 0.462 0.682  -0.01
2 Br 0.324 0.267 0.049  -0.06
3 Br 0.192 0.203 0.473  -0.01
4 Br 0.333 0.546 0.266  0.00
5 Br 0.284 0.038 0.818  -0.01
6 Br 0.676 0.733 0.951  -0.06
7 Br 0.667 0.454 0.734  0.00
8 Br 0.855 0.046 0.766  0.00
9 Br 0.145 0.954 0.234  0.00
10 Br 0.132 0.703 0.973  -0.01
11 Br 0.808 0.797 0.527  -0.01
12 Br 0.868 0.297 0.027  -0.01
13 Br 0.716 0.962 0.182  -0.01
14 Br 0.360 0.767 0.549  -0.06
15 Br 0.860 0.538 0.318  -0.01
16 Br 0.640 0.233 0.451  -0.06
17 In 0.163 0.142 0.037  0.00
18 In 0.837 0.858 0.963  0.00
19 In 0.658 0.642 0.537  0.00
20 In 0.342 0.358 0.463  0.00
21 Ca 0.007 0.750 0.250  0.00
22 Ca 0.993 0.250 0.750  0.00

Output
The energy above the most stable polymorph in this dataset comes out at 0.0000 eV per atom. Its space group is No. 15. The value obtained for the formation energy from raw total energies is -1196 kJ/mol of formula units.

***

(2)
TlAs2PdBr after structural relaxation. Source: Alexandria, functional PBE.

Unit cell a=5.331 b=5.331 c=5.645 alpha=90.00 beta=90.00 gamma=90.00
Last column: magnetic moment on the atom in μB.
Fractional positions:
1 As 0.500 0.000 0.000  0.24
2 As 0.000 0.500 0.000  0.24
3 Tl 0.000 0.000 0.000  0.00
4 Pd 0.500 0.500 0.500  0.08
5 Br 0.000 0.000 0.500  0.10

Output
The energy above the most stable polymorph in this dataset comes out at 0.9551 eV per atom. Its space group is No. 123. The value obtained for the formation energy from raw total energies is 530 kJ/mol of formula units.

***

(3)
Cr2RePb after structural relaxation. Source: Alexandria, functional PBE.

Unit cell a=5.043 b=5.043 c=5.043 alpha=141.96 beta=127.27 gamma=66.85
Fractional positions:
1 Cr 0.488 0.488 0.000
2 Cr 0.012 0.012 0.000
3 Pb 0.750 0.250 0.500
4 Re 0.250 0.750 0.500

Output
Its space group is No. 71. The calculation puts the formation energy from the elements at 0.82 eV per atom.

***

Across the entries above, raw total energy takes the values -3.02; -2.61; -8.03 eV/atom, respectively.